No. 1
DFT (PBE) results for crystalline CaPCl at its relaxed geometry.

Values from the calculation:
As for the energy relative to the elements, uncorrected: -337 meV per atom. The value obtained for the total DFT energy (no corrections) is -3.423 eV per atom.

a b c (Å): 6.8064 6.8064 6.8064
angles (deg): 90.00 90.00 90.00
Space group F-43m (No. 216)
Inequivalent atoms, fractional coordinates:
Ca: 0.0000 0.0000 0.0000 [4 per cell]
P: 0.0000 0.0000 0.5000 [4 per cell]
Cl: 0.2500 0.2500 0.7500 [4 per cell]



No. 2
DFT (PBE) results for crystalline HfNiTe2I at its relaxed geometry.

Values from the calculation:
As for the energy relative to the elements, uncorrected: 396 meV per atom. The value obtained for the total DFT energy (no corrections) is -4.318 eV per atom.

a b c (Å): 5.0775 5.0775 4.9999
angles (deg): 90.00 90.00 90.00
Space group P4/mmm (No. 123)
Inequivalent atoms, fractional coordinates:
Hf: 0.0000 0.0000 0.0000 [1 per cell]
Ni: 0.5000 0.5000 0.5000 [1 per cell]
Te: 0.0000 0.5000 0.5000 [2 per cell]
I: 0.5000 0.5000 0.0000 [1 per cell]



No. 3
DFT (PBE) results for crystalline SmGdSi4 at its relaxed geometry.

Values from the calculation:
As for the energy relative to the elements, uncorrected: -326 meV per atom. The value obtained for the total DFT energy (no corrections) is -7.075 eV per atom.

a b c (Å): 7.5964 7.5964 7.5964
angles (deg): 90.00 90.00 90.00
Space group F-43m (No. 216)
Inequivalent atoms, fractional coordinates:
Sm: 0.0000 0.0000 0.0000 [4 per cell]
Gd: 0.2500 0.2500 0.2500 [4 per cell]
Si: 0.1248 0.1248 0.6248 [16 per cell]



No. 4
DFT (PBE) results for crystalline Li2Pd6Pb at its relaxed geometry.

Values from the calculation:
The formation enthalpy at 0 K comes out at -213.1 meV per atom. The value obtained for the total DFT energy (no corrections) is -4.512 eV per atom.

a b c (Å): 4.3262 5.3978 12.9646
angles (deg): 90.00 90.00 90.00
Space group Immm (No. 71)
Inequivalent atoms, fractional coordinates:
Li: 0.0000 0.0000 0.1780 [4 per cell]
Pd: 0.0000 0.2507 0.3936 [8 per cell]
Pd: 0.0000 0.5000 0.2096 [4 per cell]
Pb: 0.0000 0.5000 0.0000 [2 per cell]



No. 5
DFT (PBE) results for crystalline MgZr2Ti at its relaxed geometry.

Values from the calculation:
The formation enthalpy at 0 K comes out at 80.0 meV per atom. The value obtained for the total DFT energy (no corrections) is -6.566 eV per atom.

a b c (Å): 4.4072 4.4072 4.3131
angles (deg): 90.00 90.00 90.00
Space group P4/mmm (No. 123)
Inequivalent atoms, fractional coordinates:
Mg: 0.0000 0.0000 0.0000 [1 per cell]
Zr: 0.0000 0.5000 0.5000 [2 per cell]
Ti: 0.5000 0.5000 0.0000 [1 per cell]



No. 6
DFT (PBE) results for crystalline AgWAu2 at its relaxed geometry.

Values from the calculation:
The formation enthalpy at 0 K comes out at 566.0 meV per atom. The value obtained for the total DFT energy (no corrections) is -5.024 eV per atom.

a b c (Å): 6.5179 6.5179 6.5179
angles (deg): 90.00 90.00 90.00
Space group Fm-3m (No. 225)
Inequivalent atoms, fractional coordinates:
Ag: 0.0000 0.0000 0.0000 [4 per cell]
W: 0.0000 0.0000 0.5000 [4 per cell]
Au: 0.2500 0.2500 0.2500 [8 per cell]



No. 7
DFT (PBE) results for crystalline InP at its relaxed geometry.

Values from the calculation:
The formation enthalpy at 0 K comes out at 176.8 meV per atom. The value obtained for the total DFT energy (no corrections) is -3.897 eV per atom.

a b c (Å): 5.0055 5.4512 3.0680
angles (deg): 90.00 90.00 90.00
Space group Imm2 (No. 44)
Inequivalent atoms, fractional coordinates:
In: 0.0000 0.0000 0.0000 [2 per cell]
P: 0.0000 0.5000 0.8999 [2 per cell]



No. 8
DFT (PBE) results for crystalline CoAs2Pd3 at its relaxed geometry.

Values from the calculation:
The formation enthalpy at 0 K comes out at -325.9 meV per atom. The value obtained for the total DFT energy (no corrections) is -5.656 eV per atom.

a b c (Å): 5.6345 12.2084 5.3734
angles (deg): 90.00 90.00 90.00
Space group Ibam (No. 72)
Inequivalent atoms, fractional coordinates:
Co: 0.0000 0.0000 0.2500 [4 per cell]
As: 0.2167 0.1209 0.0000 [8 per cell]
Pd: 0.0000 0.5000 0.2500 [4 per cell]
Pd: 0.2328 0.1807 0.5000 [8 per cell]



> Which of these has the highest total DFT energy (no corrections)?

CaPCl



> The highest total DFT energy (no corrections) belongs to which entry?

CaPCl